A relaxed Y2Mg2H crystal. Source: Alexandria via LeMat-Bulk, functional PBE.

Summary:
* energy above the lowest structure with this stoichiometry: 19.87 kcal/mol of atoms
* density of states at the Fermi level: 1.143 states/eV/atom
* raw total energy: -3.05 eV/atom

Cell: 4.2999 4.2999 16.7472 Å, 90.00 90.00 90.00°
Space group I4/mmm (No. 139)
One atom of each set of equivalent atoms:
1 Y 0.0000 0.5000 0.2500 x4
2 Mg 0.0000 0.0000 0.0883 x4
3 H 0.0000 0.0000 0.5000 x2